# PBE GaTcIrS2, relaxed
data_GaTcIrS2
_symmetry_space_group_name_H-M 'P 1'
_symmetry_Int_Tables_number 1
_cell_length_a 4.725
_cell_length_b 4.709
_cell_length_c 4.725
_cell_angle_alpha 90.00
_cell_angle_beta 90.00
_cell_angle_gamma 90.00
loop_
_symmetry_equiv_pos_as_xyz
'x,y,z'
loop_
_atom_site_label
_atom_site_fract_x
_atom_site_fract_y
_atom_site_fract_z
_atom_site_occupancy
S1 0.000 0.000 0.500 1
S2 0.500 0.000 0.000 1
Ir1 0.000 0.000 0.000 1
Tc1 0.500 0.500 0.500 1
Ga1 0.000 0.500 0.000 1
# Raw formation energy (eV per formula unit): 4.887
# Space group: P4/mmm (123)
# Calculated total energy (eV per cell): -25.62

***

# PBE Be2SbBr, relaxed
data_Be2SbBr
_symmetry_space_group_name_H-M 'P 1'
_symmetry_Int_Tables_number 1
_cell_length_a 4.664
_cell_length_b 3.983
_cell_length_c 4.288
_cell_angle_alpha 80.01
_cell_angle_beta 90.00
_cell_angle_gamma 90.00
loop_
_symmetry_equiv_pos_as_xyz
'x,y,z'
loop_
_atom_site_label
_atom_site_fract_x
_atom_site_fract_y
_atom_site_fract_z
_atom_site_occupancy
Sb1 0.500 0.881 0.836 1
Br1 0.000 0.423 0.375 1
Be1 0.000 0.932 0.055 1
Be2 0.500 0.264 0.235 1
# Raw formation energy (eV per formula unit): 0.861
# Space group: Pm (6)
# Calculated total energy (eV per cell): -12.39
# Distance to the lowest polymorph of the same formula (eV per atom): 0.254

***

# PBE CaCoCuAs2, relaxed
data_CaCoCuAs2
_symmetry_space_group_name_H-M 'P 1'
_symmetry_Int_Tables_number 1
_cell_length_a 4.074
_cell_length_b 4.074
_cell_length_c 5.949
_cell_angle_alpha 110.03
_cell_angle_beta 110.03
_cell_angle_gamma 90.00
loop_
_symmetry_equiv_pos_as_xyz
'x,y,z'
loop_
_atom_site_label
_atom_site_fract_x
_atom_site_fract_y
_atom_site_fract_z
_atom_site_occupancy
Ca1 0.000 0.000 0.000 1
Co1 0.750 0.250 0.500 1
Cu1 0.250 0.750 0.500 1
As1 0.629 0.629 0.257 1
As2 0.371 0.371 0.743 1
# Space group: I-4m2 (119)
# Calculated total energy (eV per cell): -24.96

***

# PBE CsK2AgAu, relaxed
data_CsK2AgAu
_symmetry_space_group_name_H-M 'P 1'
_symmetry_Int_Tables_number 1
_cell_length_a 6.382
_cell_length_b 6.382
_cell_length_c 5.511
_cell_angle_alpha 90.00
_cell_angle_beta 90.00
_cell_angle_gamma 90.00
loop_
_symmetry_equiv_pos_as_xyz
'x,y,z'
loop_
_atom_site_label
_atom_site_fract_x
_atom_site_fract_y
_atom_site_fract_z
_atom_site_occupancy
Cs1 0.500 0.500 0.500 1
K1 0.000 0.500 0.000 1
K2 0.500 0.000 0.000 1
Au1 0.000 0.000 0.500 1
Ag1 0.000 0.000 0.000 1
# Space group: P4/mmm (123)
# Calculated total energy (eV per cell): -9.03
# Distance to the lowest polymorph of the same formula (eV per atom): 0.036

***

# PBE Tm5ScSe6, relaxed
data_Tm5ScSe6
_symmetry_space_group_name_H-M 'P 1'
_symmetry_Int_Tables_number 1
_cell_length_a 6.909
_cell_length_b 6.917
_cell_length_c 6.930
_cell_angle_alpha 60.06
_cell_angle_beta 80.37
_cell_angle_gamma 70.41
loop_
_symmetry_equiv_pos_as_xyz
'x,y,z'
loop_
_atom_site_label
_atom_site_fract_x
_atom_site_fract_y
_atom_site_fract_z
_atom_site_occupancy
Sc1 0.000 0.000 0.000 1
Tm1 0.500 0.170 0.660 1
Tm2 0.000 0.334 0.332 1
Tm3 0.500 0.500 0.000 1
Tm4 0.000 0.666 0.668 1
Tm5 0.500 0.830 0.340 1
Se1 0.754 0.082 0.328 1
Se2 0.246 0.591 0.328 1
Se3 0.249 0.244 0.000 1
Se4 0.751 0.756 0.000 1
Se5 0.754 0.409 0.672 1
Se6 0.246 0.918 0.672 1
# Raw formation energy (eV per formula unit): -19.763
# Space group: C2/m (12)
# Calculated total energy (eV per cell): -69.36

***

# PBE TlHg2TePt, relaxed
data_TlHg2TePt
_symmetry_space_group_name_H-M 'P 1'
_symmetry_Int_Tables_number 1
_cell_length_a 5.303
_cell_length_b 5.303
_cell_length_c 5.469
_cell_angle_alpha 90.00
_cell_angle_beta 90.00
_cell_angle_gamma 90.00
loop_
_symmetry_equiv_pos_as_xyz
'x,y,z'
loop_
_atom_site_label
_atom_site_fract_x
_atom_site_fract_y
_atom_site_fract_z
_atom_site_occupancy
Tl1 0.500 0.500 0.500 1
Te1 0.000 0.000 0.500 1
Hg1 0.000 0.500 0.000 1
Hg2 0.500 0.000 0.000 1
Pt1 0.000 0.000 0.000 1
# Raw formation energy (eV per formula unit): -0.299
# Space group: P4/mmm (123)
# Calculated total energy (eV per cell): -12.45

***

# PBE CaCoPb3, relaxed
data_CaCoPb3
_symmetry_space_group_name_H-M 'P 1'
_symmetry_Int_Tables_number 1
_cell_length_a 5.181
_cell_length_b 5.181
_cell_length_c 5.181
_cell_angle_alpha 90.00
_cell_angle_beta 90.00
_cell_angle_gamma 90.00
loop_
_symmetry_equiv_pos_as_xyz
'x,y,z'
loop_
_atom_site_label
_atom_site_fract_x
_atom_site_fract_y
_atom_site_fract_z
_atom_site_occupancy
Pb1 0.000 0.500 0.000 1
Pb2 0.000 0.000 0.500 1
Pb3 0.500 0.000 0.000 1
Ca1 0.500 0.500 0.500 1
Co1 0.000 0.000 0.000 1
# Space group: Pm-3m (221)
# Calculated total energy (eV per cell): -19.96